A plane-wave DFT calculation with PBE was carried out for crystalline TiGeS4 at its relaxed geometry.

```
TiGeS4
1.0
-2.867 2.867 4.818
2.867 -2.867 4.818
2.867 2.867 -4.818
Ti Ge S
1 1 4
direct
0.000 0.000 0.000 Ti
0.750 0.250 0.500 Ge
0.100 0.618 0.963 S
0.382 0.345 0.483 S
0.655 0.137 0.037 S
0.863 0.900 0.517 S
```

Output
ΔE_f (raw) ... -655.5 meV per atom
Calculated volume ... 158.39 Å³ per cell
Size of the total moment ... 0.0 μB per formula unit